Density functional theory data (PBE) for a geometry-optimized ZrTcAs2 structure.

a = 3.168 Å, b = 3.168 Å, c = 7.982 Å
α = 90.00°, β = 90.00°, γ = 90.00°
Space group P4mm (No. 99)
Asymmetric unit:
Zr 0.000 0.000 0.000 (multiplicity 1)
Tc 0.500 0.500 0.768 (multiplicity 1)
As 0.000 0.000 0.614 (multiplicity 1)
As 0.500 0.500 0.236 (multiplicity 1)

Energy of formation: -290 meV/atom
Distance to the lowest polymorph of the same formula: 0.297 eV/atom
V: 80 Å³/f.u.
Magnetic moment: 0.00 μB per formula unit